A plane-wave DFT calculation with GGA-PBE was carried out for TiTlSeF2 after structural relaxation.

Cell lengths 4.253, 4.253, 5.157 Å; angles 90.00, 90.00, 90.00 degrees
Space group P4/mmm (No. 123)
Inequivalent atoms, fractional coordinates:
Ti 0.000 0.000 0.000 (multiplicity 1)
Tl 0.500 0.500 0.500 (multiplicity 1)
Se 0.000 0.000 0.500 (multiplicity 1)
F 0.000 0.500 0.000 (multiplicity 2)

Formation energy (no corrections): -1.893 eV/atom
Spin magnetization: 1.113 μB per cell
DFT total energy: -5.3903 eV per atom